A geometry-optimized LiCoPO2 structure. Source: Alexandria via LeMat-Bulk, functional PBE with a Hubbard U.

a = 3.625 Å, b = 3.625 Å, c = 4.854 Å
α = 90.00°, β = 90.00°, γ = 90.00°
Positions (direct):
Li (0.000, 0.000, 0.000)
Co (0.500, 0.500, 0.500)
P (0.500, 0.500, 0.000)
O (0.000, 0.500, 0.500)
O (0.500, 0.000, 0.500)

## Properties
Mass density (Mg/m³): 3.354
SG: P4/mmm (123)
Excess energy over the best structure of this formula in the dataset (eV/atom): 0.000
Electronic total energy (eV/cell): -23.14